This record from the Alexandria database describes a geometry-optimized Na2TiVO4 structure. The functional is GGA+U.

Cell lengths 5.471, 5.471, 5.471 Å; angles 121.04, 121.04, 88.22 degrees
Element x y z (fractional)
Na1 0.000 0.000 0.000
Na2 0.750 0.250 0.500
Ti1 0.250 0.750 0.500
V1 0.500 0.500 0.000
O1 0.194 0.106 0.546
O2 0.352 0.806 0.912
O3 0.560 0.648 0.454
O4 0.894 0.440 0.088

Results
**Theoretical density**: 3.04 g/cm3
**Crystal system**: tetragonal
**Final energy**: -6.8020 eV per atom
**Density of states at the Fermi level**: 3.85 states/eV/f.u.